Entry 1:
# LiPrGa2Au4 PBE-GGA relaxed
# total magnetization: 0.0 Bohr magnetons per cell
# formation enthalpy at 0 K: -0.546 eV/atom
data_LiPrGa2Au4
_chemical_formula_sum 'Li3 Pr3 Ga6 Au12'
_cell_length_a 4.5394
_cell_length_b 4.5394
_cell_length_c 25.7650
_cell_angle_alpha 90.00
_cell_angle_beta 90.00
_cell_angle_gamma 120.00
_symmetry_space_group_name_H-M 'R -3 m'
_symmetry_Int_Tables_number 166
_symmetry_space_group_name_Hall '-R 3 2"'
loop_
_atom_site_label
_atom_site_type_symbol
_atom_site_fract_x
_atom_site_fract_y
_atom_site_fract_z
Li1 Li 0.0000 0.0000 0.0000
Pr1 Pr 0.0000 0.0000 0.5000
Ga1 Ga 0.0000 0.0000 0.2577
Au1 Au 0.0000 0.0000 0.1011
Au2 Au 0.0000 0.0000 0.3654

=====

Entry 2:
# LiPr2GaAu6 PBE-GGA relaxed
# total magnetization: 0.0 Bohr magnetons per cell
# formation enthalpy at 0 K: -0.496 eV/atom
data_LiPr2GaAu6
_chemical_formula_sum 'Li1 Pr2 Ga1 Au6'
_cell_length_a 5.516
_cell_length_b 6.831
_cell_length_c 7.036
_cell_angle_alpha 82.21
_cell_angle_beta 66.96
_cell_angle_gamma 66.39
_symmetry_space_group_name_H-M 'P -1'
_symmetry_Int_Tables_number 2
loop_
_symmetry_equiv_pos_as_xyz
'x,y,z'
'-x,-y,-z'
loop_
_atom_site_label
_atom_site_type_symbol
_atom_site_fract_x
_atom_site_fract_y
_atom_site_fract_z
Li1 Li 0.000 0.000 0.000
Pr1 Pr 0.475 0.276 0.776
Ga1 Ga 0.000 0.500 0.500
Au1 Au 0.005 0.269 0.220
Au2 Au 0.150 0.095 0.605
Au3 Au 0.495 0.732 0.779

=====

Entry 3:
# LiPrGa2Au PBE-GGA relaxed
# total magnetization: 0.0 Bohr magnetons per cell
# formation enthalpy at 0 K: -0.574 eV/atom
data_LiPrGa2Au
_chemical_formula_sum 'Li2 Pr2 Ga4 Au2'
_cell_length_a 4.354
_cell_length_b 4.354
_cell_length_c 10.724
_cell_angle_alpha 90.00
_cell_angle_beta 90.00
_cell_angle_gamma 90.00
_symmetry_space_group_name_H-M 'I -4 m 2'
_symmetry_Int_Tables_number 119
_symmetry_space_group_name_Hall 'I -4 -2'
loop_
_atom_site_label
_atom_site_type_symbol
_atom_site_fract_x
_atom_site_fract_y
_atom_site_fract_z
Li1 Li 0.000 0.000 0.000
Pr1 Pr 0.000 0.500 0.250
Ga1 Ga 0.000 0.500 0.635
Au1 Au 0.000 0.000 0.500

=====

Entry 4:
# LiPu2Ga3Au4 PBE-GGA relaxed
# total magnetization: 11.4 Bohr magnetons per cell
# formation enthalpy at 0 K: -0.414 eV/atom
data_LiPu2Ga3Au4
_chemical_formula_sum 'Li1 Pu2 Ga3 Au4'
_cell_length_a 4.259
_cell_length_b 4.259
_cell_length_c 11.314
_cell_angle_alpha 90.00
_cell_angle_beta 90.00
_cell_angle_gamma 90.00
_symmetry_space_group_name_H-M 'P -4 m 2'
_symmetry_Int_Tables_number 115
loop_
_symmetry_equiv_pos_as_xyz
'x,y,z'
'y,-x,-z'
'-x,-y,z'
'-y,x,-z'
'-x,y,z'
'-y,-x,-z'
'x,-y,z'
'y,x,-z'
loop_
_atom_site_label
_atom_site_type_symbol
_atom_site_fract_x
_atom_site_fract_y
_atom_site_fract_z
Li1 Li 0.000 0.000 0.000
Pu1 Pu 0.000 0.500 0.744
Ga1 Ga 0.000 0.500 0.364
Ga2 Ga 0.500 0.500 0.000
Au1 Au 0.000 0.000 0.500
Au2 Au 0.000 0.500 0.138
Au3 Au 0.500 0.500 0.500

=====

Entry 5:
# Li2PuGaAu4 PBE-GGA relaxed
# total magnetization: 16.8 Bohr magnetons per cell
# formation enthalpy at 0 K: -0.414 eV/atom
data_Li2PuGaAu4
_chemical_formula_sum 'Li6 Pu3 Ga3 Au12'
_cell_length_a 4.4954
_cell_length_b 4.4954
_cell_length_c 25.9926
_cell_angle_alpha 90.00
_cell_angle_beta 90.00
_cell_angle_gamma 120.00
_symmetry_space_group_name_H-M 'R -3 m'
_symmetry_Int_Tables_number 166
_symmetry_space_group_name_Hall '-R 3 2"'
loop_
_atom_site_label
_atom_site_type_symbol
_atom_site_fract_x
_atom_site_fract_y
_atom_site_fract_z
Li1 Li 0.0000 0.0000 0.2366
Pu1 Pu 0.0000 0.0000 0.0000
Ga1 Ga 0.0000 0.0000 0.5000
Au1 Au 0.0000 0.0000 0.1271
Au2 Au 0.0000 0.0000 0.3971

=====

Entry 6:
# LiPuGaAu PBE-GGA relaxed
# total magnetization: 21.9 Bohr magnetons per cell
# formation enthalpy at 0 K: -0.294 eV/atom
data_LiPuGaAu
_chemical_formula_sum 'Li4 Pu4 Ga4 Au4'
_cell_length_a 6.915
_cell_length_b 6.915
_cell_length_c 6.915
_cell_angle_alpha 90.00
_cell_angle_beta 90.00
_cell_angle_gamma 90.00
_symmetry_space_group_name_H-M 'F -4 3 m'
_symmetry_Int_Tables_number 216
_symmetry_space_group_name_Hall 'F -4 2 3'
loop_
_atom_site_label
_atom_site_type_symbol
_atom_site_fract_x
_atom_site_fract_y
_atom_site_fract_z
Li1 Li 0.000 0.000 0.000
Pu1 Pu 0.000 0.000 0.500
Ga1 Ga 0.250 0.250 0.250
Au1 Au 0.250 0.250 0.750

=====

Entry 7:
# LiPu2Ga4Au3 PBE-GGA relaxed
# total magnetization: 11.3 Bohr magnetons per cell
# formation enthalpy at 0 K: -0.388 eV/atom
data_LiPu2Ga4Au3
_chemical_formula_sum 'Li1 Pu2 Ga4 Au3'
_cell_length_a 4.210
_cell_length_b 4.210
_cell_length_c 11.438
_cell_angle_alpha 90.00
_cell_angle_beta 90.00
_cell_angle_gamma 90.00
_symmetry_space_group_name_H-M 'P -4 m 2'
_symmetry_Int_Tables_number 115
loop_
_symmetry_equiv_pos_as_xyz
'x,y,z'
'y,-x,-z'
'-x,-y,z'
'-y,x,-z'
'-x,y,z'
'-y,-x,-z'
'x,-y,z'
'y,x,-z'
loop_
_atom_site_label
_atom_site_type_symbol
_atom_site_fract_x
_atom_site_fract_y
_atom_site_fract_z
Li1 Li 0.000 0.000 0.000
Pu1 Pu 0.000 0.500 0.750
Ga1 Ga 0.000 0.000 0.500
Ga2 Ga 0.000 0.500 0.136
Ga3 Ga 0.500 0.500 0.500
Au1 Au 0.000 0.500 0.359
Au2 Au 0.500 0.500 0.000

=====

Entry 8:
# LiPuGa2Au2 PBE-GGA relaxed
# total magnetization: 5.7 Bohr magnetons per cell
# formation enthalpy at 0 K: -0.463 eV/atom
data_LiPuGa2Au2
_chemical_formula_sum 'Li1 Pu1 Ga2 Au2'
_cell_length_a 4.5134
_cell_length_b 4.5134
_cell_length_c 6.6378
_cell_angle_alpha 90.00
_cell_angle_beta 90.00
_cell_angle_gamma 120.00
_symmetry_space_group_name_H-M 'P -3 m 1'
_symmetry_Int_Tables_number 164
_symmetry_space_group_name_Hall '-P 3 2"'
loop_
_atom_site_label
_atom_site_type_symbol
_atom_site_fract_x
_atom_site_fract_y
_atom_site_fract_z
Li1 Li 0.0000 0.0000 0.0000
Pu1 Pu 0.0000 0.0000 0.5000
Ga1 Ga 0.3333 0.6667 0.7923
Au1 Au 0.3333 0.6667 0.2157

=====

Entry 9:
# LiPuGa2Au4 PBE-GGA relaxed
# total magnetization: 16.5 Bohr magnetons per cell
# formation enthalpy at 0 K: -0.409 eV/atom
data_LiPuGa2Au4
_chemical_formula_sum 'Li3 Pu3 Ga6 Au12'
_cell_length_a 4.5567
_cell_length_b 4.5567
_cell_length_c 25.0835
_cell_angle_alpha 90.00
_cell_angle_beta 90.00
_cell_angle_gamma 120.00
_symmetry_space_group_name_H-M 'R -3 m'
_symmetry_Int_Tables_number 166
_symmetry_space_group_name_Hall '-R 3 2"'
loop_
_atom_site_label
_atom_site_type_symbol
_atom_site_fract_x
_atom_site_fract_y
_atom_site_fract_z
Li1 Li 0.0000 0.0000 0.0000
Pu1 Pu 0.0000 0.0000 0.5000
Ga1 Ga 0.0000 0.0000 0.2549
Au1 Au 0.0000 0.0000 0.1043
Au2 Au 0.0000 0.0000 0.3659

=====

Entry 10:
# RbLi2GaAu PBE-GGA relaxed
# total magnetization: 0.0 Bohr magnetons per cell
# formation enthalpy at 0 K: -0.184 eV/atom
data_RbLi2GaAu
_chemical_formula_sum 'Rb1 Li2 Ga1 Au1'
_cell_length_a 5.280
_cell_length_b 5.280
_cell_length_c 4.899
_cell_angle_alpha 90.00
_cell_angle_beta 90.00
_cell_angle_gamma 90.00
_symmetry_space_group_name_H-M 'P 4/m m m'
_symmetry_Int_Tables_number 123
_symmetry_space_group_name_Hall '-P 4 2'
loop_
_atom_site_label
_atom_site_type_symbol
_atom_site_fract_x
_atom_site_fract_y
_atom_site_fract_z
Rb1 Rb 0.000 0.000 0.000
Li1 Li 0.000 0.500 0.500
Ga1 Ga 0.500 0.500 0.000
Au1 Au 0.500 0.500 0.500

=====

Entry 11:
# LiGa2AuS4 PBE-GGA relaxed
# total magnetization: 0.0 Bohr magnetons per cell
# raw formation energy: -0.681 eV/atom
data_LiGa2AuS4
_chemical_formula_sum 'Li2 Ga4 Au2 S8'
_cell_length_a 5.315
_cell_length_b 5.315
_cell_length_c 11.877
_cell_angle_alpha 90.00
_cell_angle_beta 90.00
_cell_angle_gamma 90.00
_symmetry_space_group_name_H-M 'I -4 2 m'
_symmetry_Int_Tables_number 121
_symmetry_space_group_name_Hall 'I -4 2'
loop_
_atom_site_label
_atom_site_type_symbol
_atom_site_fract_x
_atom_site_fract_y
_atom_site_fract_z
Li1 Li 0.000 0.000 0.000
Ga1 Ga 0.000 0.500 0.250
Au1 Au 0.000 0.000 0.500
S1 S 0.242 0.242 0.135

=====

Entry 12:
# LiGaSb2Au4 PBE-GGA relaxed
# total magnetization: 0.0 Bohr magnetons per cell
# raw formation energy: -0.124 eV/atom
data_LiGaSb2Au4
_chemical_formula_sum 'Li4 Ga4 Sb8 Au16'
_cell_length_a 6.612
_cell_length_b 8.986
_cell_length_c 11.331
_cell_angle_alpha 90.00
_cell_angle_beta 90.00
_cell_angle_gamma 90.00
_symmetry_space_group_name_H-M 'I m m a'
_symmetry_Int_Tables_number 74
_symmetry_space_group_name_Hall '-I 2b 2'
loop_
_atom_site_label
_atom_site_type_symbol
_atom_site_fract_x
_atom_site_fract_y
_atom_site_fract_z
Li1 Li 0.000 0.000 0.000
Ga1 Ga 0.250 0.250 0.250
Sb1 Sb 0.000 0.000 0.500
Sb2 Sb 0.250 0.250 0.750
Au1 Au 0.000 0.020 0.250
Au2 Au 0.223 0.250 0.008